1.
# ReNiMo2, relaxed, DFT PBE
# Final energy   -9.25 eV per atom
# Excess energy over the best structure of this formula in the dataset   0.694 eV/atom
# N(E_F)   1.005 states/eV per atom
# Energy of formation   0.720 eV per atom
data_ReNiMo2
_cell_length_a 6.897
_cell_length_b 6.897
_cell_length_c 5.272
_cell_angle_alpha 90.00
_cell_angle_beta 90.00
_cell_angle_gamma 90.00
_symmetry_space_group_name_H-M 'I -4 2 d'
_symmetry_Int_Tables_number 122
_symmetry_space_group_name_Hall 'I -4 2bw'
loop_
_atom_site_label
_atom_site_type_symbol
_atom_site_fract_x
_atom_site_fract_y
_atom_site_fract_z
Re1 Re 0.000 0.000 0.000
Ni1 Ni 0.000 0.000 0.500
Mo1 Mo 0.247 0.750 0.625

***

2.
# Rb3Y2MnS6, relaxed, DFT PBE
# Final energy   -5.60 eV per atom
# Energy relative to the elements, uncorrected   -1449 meV per atom
data_Rb3Y2MnS6
_cell_length_a 7.049
_cell_length_b 11.715
_cell_length_c 8.037
_cell_angle_alpha 90.00
_cell_angle_beta 107.93
_cell_angle_gamma 90.00
_symmetry_space_group_name_H-M 'C 1 2/m 1'
_symmetry_Int_Tables_number 12
_symmetry_space_group_name_Hall '-C 2y'
loop_
_atom_site_label
_atom_site_type_symbol
_atom_site_fract_x
_atom_site_fract_y
_atom_site_fract_z
Rb1 Rb 0.000 0.000 0.000
Rb2 Rb 0.000 0.328 0.000
Y1 Y 0.000 0.163 0.500
Mn1 Mn 0.000 0.500 0.500
S1 S 0.210 0.349 0.677
S2 S 0.230 0.000 0.705

***

3.
# LaPaZn, relaxed, DFT PBE
# Final energy   -5.14 eV per atom
# Excess energy over the best structure of this formula in the dataset   0.000 eV/atom
# N(E_F)   1.690 states/eV per atom
# Energy of formation   0.089 eV per atom
data_LaPaZn
_cell_length_a 3.224
_cell_length_b 3.224
_cell_length_c 14.482
_cell_angle_alpha 90.00
_cell_angle_beta 90.00
_cell_angle_gamma 90.00
_symmetry_space_group_name_H-M 'I 4 m m'
_symmetry_Int_Tables_number 107
_symmetry_space_group_name_Hall 'I 4 -2'
loop_
_atom_site_label
_atom_site_type_symbol
_atom_site_fract_x
_atom_site_fract_y
_atom_site_fract_z
La1 La 0.000 0.000 0.000
Pa1 Pa 0.000 0.000 0.308
Zn1 Zn 0.000 0.000 0.662

***

4.
# BeInRe2, relaxed, DFT PBE
# Final energy   -7.29 eV per atom
# Excess energy over the best structure of this formula in the dataset   0.460 eV/atom
# N(E_F)   0.479 states/eV per atom
# Energy of formation   0.547 eV per atom
data_BeInRe2
_cell_length_a 3.153
_cell_length_b 4.353
_cell_length_c 4.428
_cell_angle_alpha 90.00
_cell_angle_beta 90.00
_cell_angle_gamma 90.00
_symmetry_space_group_name_H-M 'P m m m'
_symmetry_Int_Tables_number 47
_symmetry_space_group_name_Hall '-P 2 2'
loop_
_atom_site_label
_atom_site_type_symbol
_atom_site_fract_x
_atom_site_fract_y
_atom_site_fract_z
Be1 Be 0.000 0.000 0.000
In1 In 0.500 0.500 0.000
Re1 Re 0.000 0.500 0.500
Re2 Re 0.500 0.000 0.500

***

5.
# K3Sm3CrS8, relaxed, DFT PBE
# Final energy   -5.52 eV per atom
# N(E_F)   0.547 states/eV per atom
# Energy relative to the elements, uncorrected   -1511 meV per atom
data_K3Sm3CrS8
_cell_length_a 7.9636
_cell_length_b 7.9636
_cell_length_c 22.6047
_cell_angle_alpha 90.00
_cell_angle_beta 90.00
_cell_angle_gamma 120.00
_symmetry_space_group_name_H-M 'R -3 m'
_symmetry_Int_Tables_number 166
_symmetry_space_group_name_Hall '-R 3 2"'
loop_
_atom_site_label
_atom_site_type_symbol
_atom_site_fract_x
_atom_site_fract_y
_atom_site_fract_z
K1 K 0.0000 0.5000 0.0000
Sm1 Sm 0.0000 0.5000 0.5000
Cr1 Cr 0.0000 0.0000 0.5000
S1 S 0.0000 0.0000 0.2361
S2 S 0.0375 0.5188 0.2288

***

6.
# Ca3Cu2Sn4, relaxed, DFT PBE
# Final energy   -3.73 eV per atom
# Excess energy over the best structure of this formula in the dataset   0.093 eV/atom
# N(E_F)   0.512 states/eV per atom
# Energy of formation   -0.377 eV per atom
data_Ca3Cu2Sn4
_cell_length_a 15.412
_cell_length_b 4.518
_cell_length_c 6.831
_cell_angle_alpha 90.00
_cell_angle_beta 101.12
_cell_angle_gamma 90.00
_symmetry_space_group_name_H-M 'C 1 2/m 1'
_symmetry_Int_Tables_number 12
_symmetry_space_group_name_Hall '-C 2y'
loop_
_atom_site_label
_atom_site_type_symbol
_atom_site_fract_x
_atom_site_fract_y
_atom_site_fract_z
Ca1 Ca 0.000 0.000 0.000
Ca2 Ca 0.142 0.000 0.610
Cu1 Cu 0.129 0.500 0.964
Sn1 Sn 0.025 0.500 0.310
Sn2 Sn 0.211 0.000 0.139

***

7.
# Pr4Ho2Er2Tm, relaxed, DFT PBE
# Final energy   -4.63 eV per atom
# N(E_F)   1.550 states/eV per atom
# Energy of formation   0.025 eV per atom
data_Pr4Ho2Er2Tm
_cell_length_a 15.297
_cell_length_b 5.090
_cell_length_c 8.054
_cell_angle_alpha 90.00
_cell_angle_beta 108.48
_cell_angle_gamma 90.00
_symmetry_space_group_name_H-M 'C 1 2/m 1'
_symmetry_Int_Tables_number 12
_symmetry_space_group_name_Hall '-C 2y'
loop_
_atom_site_label
_atom_site_type_symbol
_atom_site_fract_x
_atom_site_fract_y
_atom_site_fract_z
Pr1 Pr 0.053 0.000 0.330
Pr2 Pr 0.223 0.500 0.332
Ho1 Ho 0.167 0.000 0.000
Er1 Er 0.111 0.500 0.671
Tm1 Tm 0.000 0.500 0.000

***

8.
# Ac3HoHg6, relaxed, DFT PBE
# Final energy   -1.75 eV per atom
# N(E_F)   1.030 states/eV per atom
# Energy of formation   0.122 eV per atom
data_Ac3HoHg6
_cell_length_a 11.512
_cell_length_b 11.512
_cell_length_c 11.512
_cell_angle_alpha 90.00
_cell_angle_beta 90.00
_cell_angle_gamma 90.00
_symmetry_space_group_name_H-M 'F m -3 m'
_symmetry_Int_Tables_number 225
_symmetry_space_group_name_Hall '-F 4 2 3'
loop_
_atom_site_label
_atom_site_type_symbol
_atom_site_fract_x
_atom_site_fract_y
_atom_site_fract_z
Ac1 Ac 0.000 0.000 0.000
Ac2 Ac 0.250 0.250 0.250
Ho1 Ho 0.000 0.000 0.500
Hg1 Hg 0.000 0.000 0.259

***

9.
# ZrBeHg2, relaxed, DFT PBE
# Final energy   -2.81 eV per atom
# N(E_F)   0.858 states/eV per atom
# Energy of formation   0.412 eV per atom
data_ZrBeHg2
_cell_length_a 4.126
_cell_length_b 4.126
_cell_length_c 19.706
_cell_angle_alpha 90.00
_cell_angle_beta 90.00
_cell_angle_gamma 90.00
_symmetry_space_group_name_H-M 'I -4 2 d'
_symmetry_Int_Tables_number 122
_symmetry_space_group_name_Hall 'I -4 2bw'
loop_
_atom_site_label
_atom_site_type_symbol
_atom_site_fract_x
_atom_site_fract_y
_atom_site_fract_z
Zr1 Zr 0.000 0.000 0.000
Be1 Be 0.000 0.000 0.500
Hg1 Hg 0.231 0.250 0.625

***

10.
# Sm8Te4RhS3, relaxed, DFT PBE
# Final energy   -5.93 eV per atom
# N(E_F)   0.480 states/eV per atom
# Energy relative to the elements, uncorrected   -1548 meV per atom
data_Sm8Te4RhS3
_cell_length_a 8.4114
_cell_length_b 8.4114
_cell_length_c 21.3638
_cell_angle_alpha 90.00
_cell_angle_beta 90.00
_cell_angle_gamma 120.00
_symmetry_space_group_name_H-M 'R -3 m'
_symmetry_Int_Tables_number 166
_symmetry_space_group_name_Hall '-R 3 2"'
loop_
_atom_site_label
_atom_site_type_symbol
_atom_site_fract_x
_atom_site_fract_y
_atom_site_fract_z
Sm1 Sm 0.0000 0.0000 0.2359
Sm2 Sm 0.0042 0.5021 0.2370
Te1 Te 0.0000 0.0000 0.0000
Te2 Te 0.0000 0.5000 0.0000
Rh1 Rh 0.0000 0.0000 0.5000
S1 S 0.0000 0.5000 0.5000

***

11.
# CrCdBr2, relaxed, DFT PBE
# Final energy   -3.80 eV per atom
# Excess energy over the best structure of this formula in the dataset   0.000 eV/atom
# N(E_F)   0.014 states/eV per atom
# Energy relative to the elements, uncorrected   -330 meV per atom
data_CrCdBr2
_cell_length_a 12.846
_cell_length_b 3.580
_cell_length_c 6.594
_cell_angle_alpha 90.00
_cell_angle_beta 118.56
_cell_angle_gamma 90.00
_symmetry_space_group_name_H-M 'C 1 m 1'
_symmetry_Int_Tables_number 8
_symmetry_space_group_name_Hall 'C -2y'
loop_
_atom_site_label
_atom_site_type_symbol
_atom_site_fract_x
_atom_site_fract_y
_atom_site_fract_z
Cr1 Cr 0.000 0.000 0.000
Cd1 Cd 0.228 0.000 0.462
Br1 Br 0.073 0.500 0.833
Br2 Br 0.407 0.000 0.127

***

12.
# PaBiCl6, relaxed, DFT PBE
# Final energy   -4.45 eV per atom
# N(E_F)   0.810 states/eV per atom
# Energy relative to the elements, uncorrected   -1396 meV per atom
data_PaBiCl6
_cell_length_a 6.366
_cell_length_b 7.354
_cell_length_c 7.661
_cell_angle_alpha 118.15
_cell_angle_beta 102.71
_cell_angle_gamma 95.43
_symmetry_space_group_name_H-M 'P -1'
_symmetry_Int_Tables_number 2
_symmetry_space_group_name_Hall '-P 1'
loop_
_atom_site_label
_atom_site_type_symbol
_atom_site_fract_x
_atom_site_fract_y
_atom_site_fract_z
Pa1 Pa 0.000 0.000 0.000
Bi1 Bi 0.500 0.500 0.000
Cl1 Cl 0.141 0.639 0.862
Cl2 Cl 0.213 0.103 0.781
Cl3 Cl 0.336 0.191 0.319